KRb3In2I6 | Alexandria via LeMat-Bulk | PBE | optimized geometry; uncorrected formation energy = -1141 meV/atom; crystal system = monoclinic
1.0
11.218 -2.576 0.000
11.218 2.576 0.000
-2.334 0.000 10.033
K Rb In I
1 3 2 6
direct
0.000 0.000 0.000
0.000 0.000 0.500
0.333 0.333 0.169
0.667 0.667 0.831
0.334 0.334 0.668
0.666 0.666 0.332
0.164 0.164 0.090
0.170 0.170 0.573
0.497 0.497 0.756
0.503 0.503 0.244
0.830 0.830 0.427
0.836 0.836 0.910